Record 1
A plane-wave DFT calculation with GGA-PBE was carried out for crystalline BW2Se at its relaxed geometry.

Geometry as POSCAR:
```
BW2Se
1.0
3.741 0.000 0.000
0.000 3.741 0.000
0.000 0.000 5.353
B W Se
1 2 1
Direct
0.000 0.000 0.000
0.000 0.500 0.249
0.500 0.000 0.249
0.000 0.000 0.609
```

D(E_F) (states/eV/atom): 0.41
Relative energy among the computed polymorphs (kJ per mole of atoms): 77.74
Space-group type: P4mm (99)


Record 2
A plane-wave DFT calculation with GGA-PBE was carried out for crystalline BaTa2Re at its relaxed geometry.

Geometry as POSCAR:
```
BaTa2Re
1.0
3.261 0.000 0.000
0.000 3.261 0.000
0.000 0.000 8.637
Ba Ta Re
1 2 1
Direct
0.000 0.000 0.000
0.000 0.000 0.452
0.500 0.500 0.651
0.500 0.500 0.297
```

ΔH_f (0 K) (kJ/mol of formula units): 226
D(E_F) (states/eV/atom): 1.10
Relative energy among the computed polymorphs (kJ per mole of atoms): 7.97
Space-group type: P4mm (99)


Record 3
A plane-wave DFT calculation with GGA-PBE was carried out for crystalline Ac3Ta2Se2N5 at its relaxed geometry.

Geometry as POSCAR:
```
Ac3Ta2Se2N5
1.0
-2.101 2.101 12.297
2.101 -2.101 12.297
2.101 2.101 -12.297
Ac Ta Se N
3 2 2 5
Direct
0.000 0.000 0.000
0.160 0.160 0.000
0.840 0.840 0.000
0.420 0.420 0.000
0.580 0.580 0.000
0.299 0.299 0.000
0.701 0.701 0.000
0.087 0.587 0.500
0.413 0.913 0.500
0.500 0.500 0.000
0.587 0.087 0.500
0.913 0.413 0.500
```

D(E_F) (states/eV/atom): 0.03
Space-group type: I4/mmm (139)


Record 4
A plane-wave DFT calculation with GGA-PBE was carried out for crystalline Li8Sn2Sb at its relaxed geometry.

Geometry as POSCAR:
```
Li8Sn2Sb
1.0
7.526 -2.211 0.000
7.526 2.211 0.000
-1.393 0.000 6.178
Li Sn Sb
8 2 1
Direct
0.035 0.035 0.246
0.145 0.145 0.682
0.324 0.324 0.572
0.396 0.396 0.072
0.604 0.604 0.928
0.676 0.676 0.428
0.855 0.855 0.318
0.965 0.965 0.754
0.212 0.212 0.143
0.788 0.788 0.857
0.500 0.500 0.500
```

D(E_F) (states/eV/atom): 0.25
Space-group type: C2/m (12)


Record 5
A plane-wave DFT calculation with GGA-PBE was carried out for crystalline VSiRh3 at its relaxed geometry.

Geometry as POSCAR:
```
VSiRh3
1.0
4.514 -2.751 0.000
4.514 2.751 0.000
-4.075 0.000 11.598
V Si Rh
4 4 12
Direct
0.095 0.813 0.873
0.187 0.905 0.627
0.813 0.095 0.373
0.905 0.187 0.127
0.000 0.500 0.500
0.244 0.756 0.250
0.500 0.000 0.000
0.756 0.244 0.750
0.120 0.341 0.889
0.230 0.439 0.695
0.278 0.667 0.431
0.333 0.722 0.069
0.341 0.120 0.389
0.439 0.230 0.195
0.561 0.770 0.805
0.659 0.880 0.611
0.667 0.278 0.931
0.722 0.333 0.569
0.770 0.561 0.305
0.880 0.659 0.111
```

D(E_F) (states/eV/atom): 0.57
Relative energy among the computed polymorphs (kJ per mole of atoms): 0.00
Space-group type: C2/c (15)


Record 6
A plane-wave DFT calculation with GGA-PBE was carried out for crystalline RbLi3S2 at its relaxed geometry.

Geometry as POSCAR:
```
RbLi3S2
1.0
8.051 -2.091 0.000
8.051 2.091 0.000
-3.506 0.000 7.537
Rb Li S
2 6 4
Direct
0.132 0.132 0.044
0.868 0.868 0.956
0.060 0.060 0.391
0.312 0.312 0.544
0.401 0.401 0.363
0.599 0.599 0.637
0.688 0.688 0.456
0.940 0.940 0.609
0.196 0.196 0.657
0.478 0.478 0.731
0.522 0.522 0.269
0.804 0.804 0.343
```

D(E_F) (states/eV/atom): 0.00
Space-group type: C2/m (12)


Energy across the listed records, respectively: -0.6127; -0.6566; -0.6310; -0.2139; -0.5662; -0.2733 Ry/atom.